1.
Entry from the Alexandria database: a relaxed structure of LiLa2PtAu (GGA-PBE).

Geometry as POSCAR:
```
LiLa2PtAu
1.0
7.505 0.000 0.000
0.000 4.410 0.000
-2.885 0.000 7.605
Li La Pt Au
2 4 2 2
Cartesian
0.936 1.102 0.426
3.684 3.307 7.179
-0.057 3.307 2.947
1.188 1.102 6.004
3.432 3.307 1.601
4.677 1.102 4.659
1.905 1.102 2.915
2.715 3.307 4.691
-1.100 3.307 6.303
5.720 1.102 1.303
```

Total moment, Bohr magnetons per cell: 0.000
E, eV/cell: -50.17

2.
Entry from the Alexandria database: a relaxed structure of LiLaPuAu (GGA-PBE).

Geometry as POSCAR:
```
LiLaPuAu
1.0
7.425 0.000 0.000
0.000 7.425 0.000
0.000 0.000 7.425
Li La Pu Au
4 4 4 4
Cartesian
0.000 0.000 0.000
0.000 3.713 3.713
3.713 0.000 3.713
3.713 3.713 0.000
1.856 1.856 1.856
1.856 5.569 5.569
5.569 1.856 5.569
5.569 5.569 1.856
1.856 1.856 5.569
1.856 5.569 1.856
5.569 1.856 1.856
5.569 5.569 5.569
0.000 0.000 3.713
0.000 3.713 0.000
3.713 0.000 0.000
3.713 3.713 3.713
```

Total moment, Bohr magnetons per cell: 23.912
E, eV/cell: -100.25

3.
Entry from the Alexandria database: a relaxed structure of LiLa2RhAu (GGA-PBE).

Geometry as POSCAR:
```
LiLa2RhAu
1.0
5.429 0.000 0.000
0.000 5.429 0.000
0.000 0.000 4.684
Li La Rh Au
1 2 1 1
Cartesian
0.000 0.000 0.000
0.000 2.714 2.342
2.714 0.000 2.342
0.000 0.000 2.342
2.714 2.714 0.000
```

Total moment, Bohr magnetons per cell: 0.000
Excess energy over the best structure of this formula in the dataset, meV per atom: 227.6